1.
## Li3GaW (PBE)

Data for a relaxed structure of Li3GaW.

```
5
Lattice="5.0394 0.0000 0.0000 0.0000 5.0394 0.0000 0.0000 0.0000 5.0394" Properties=species:S:1:pos:R:3 pbc="T T T"
Li 0.0000 0.0000 2.5197
Li 0.0000 2.5197 0.0000
Li 2.5197 0.0000 0.0000
Ga 2.5197 2.5197 2.5197
W 0.0000 0.0000 0.0000
```

Computed properties:
Space-group type: No. 221
Offset from the most stable computed form, meV/atom: 260

---

2.
## Ba3Tl3Rh (PBE)

Data for a relaxed structure of Ba3Tl3Rh.

```
14
Lattice="6.6207 -2.1919 0.0000 6.6207 2.1919 0.0000 -5.0358 0.0000 17.1973" Properties=species:S:1:pos:R:3 pbc="T T T"
Ba -1.6785 0.0000 6.7783
Ba -3.1224 0.0000 15.8045
Ba 1.9085 0.0000 4.3137
Ba 6.2970 0.0000 12.8836
Ba 11.3279 0.0000 1.3928
Ba 9.8841 0.0000 10.4189
Tl 1.8905 0.0000 7.9007
Tl 0.5540 0.0000 15.8273
Tl 2.4883 0.0000 13.1018
Tl 5.7172 0.0000 4.0955
Tl 7.6516 0.0000 1.3700
Tl 6.3151 0.0000 9.2965
Rh 0.8541 0.0000 10.7303
Rh 7.3514 0.0000 6.4670
```

Computed properties:
Total DFT energy (no corrections), eV/cell: -45.19
Space-group type: No. 12

---

3.
## PS2BrF (PBE)

Data for a relaxed structure of PS2BrF.

```
5
Lattice="4.7989 0.0000 0.0000 0.0000 4.7989 0.0000 0.0000 0.0000 5.1349" Properties=species:S:1:pos:R:3 pbc="T T T"
P 0.0000 0.0000 0.0000
S 0.0000 2.3994 2.5674
S 2.3994 0.0000 2.5674
Br 0.0000 0.0000 2.5674
F 2.3994 2.3994 0.0000
```

Computed properties:
Space-group type: No. 123
E_form (uncorrected), eV/atom: 1.256
Offset from the most stable computed form, meV/atom: 331

---

4.
## Y3Co (PBE)

Data for a relaxed structure of Y3Co.

```
4
Lattice="3.6892 0.0000 0.0000 -1.8446 3.1950 0.0000 0.0000 0.0000 9.2773" Properties=species:S:1:pos:R:3 pbc="T T T"
Y 0.0000 0.0000 0.0000
Y 0.0000 2.1300 2.9327
Y 0.0000 2.1300 6.3447
Co 0.0000 0.0000 4.6387
```

Computed properties:
Total DFT energy (no corrections), eV/cell: -26.26
Space-group type: No. 187

---

5.
## CuRh3 (PBE)

Data for a relaxed structure of CuRh3.

```
4
Lattice="2.7222 0.0000 0.0000 0.0000 3.7732 0.0000 -0.0048 0.0000 5.3724" Properties=species:S:1:pos:R:3 pbc="T T T"
Cu 0.0000 0.0000 0.0000
Rh -0.0024 0.0000 2.6862
Rh 1.3541 1.8866 1.3292
Rh 1.3632 1.8866 4.0432
```

Computed properties:
Total DFT energy (no corrections), eV/cell: -25.96
Space-group type: No. 10

---

6.
## In3BiAs (PBE)

Data for a relaxed structure of In3BiAs.

```
5
Lattice="5.8067 0.0000 0.0000 0.0000 5.8067 0.0000 0.0000 0.0000 5.8067" Properties=species:S:1:pos:R:3 pbc="T T T"
In 0.0000 0.0000 2.9033
In 0.0000 2.9033 0.0000
In 2.9033 0.0000 0.0000
Bi 0.0000 0.0000 0.0000
As 2.9033 2.9033 2.9033
```

Computed properties:
Space-group type: No. 221
Offset from the most stable computed form, meV/atom: 498

---

7.
## KAgHg3 (PBE)

Data for a relaxed structure of KAgHg3.

```
5
Lattice="5.5126 0.0000 0.0000 0.0000 5.5126 0.0000 0.0000 0.0000 5.5126" Properties=species:S:1:pos:R:3 pbc="T T T"
K 0.0000 0.0000 0.0000
Ag 2.7563 2.7563 2.7563
Hg 0.0000 2.7563 2.7563
Hg 2.7563 0.0000 2.7563
Hg 2.7563 2.7563 0.0000
```

Computed properties:
Space-group type: No. 221
Offset from the most stable computed form, meV/atom: 42

---

8.
## RbBiSe2 (PBE)

Data for a relaxed structure of RbBiSe2.

```
4
Lattice="2.1656 1.2503 8.1618 -2.1656 1.2503 8.1618 0.0000 -2.5006 8.1618" Properties=species:S:1:pos:R:3 pbc="T T T"
Rb 0.0000 0.0000 0.0000
Bi 0.0000 0.0000 4.1250
Se 0.0000 0.0000 13.9349
Se 0.0000 0.0000 18.7943
```

Computed properties:
Space-group type: No. 160
E_form (uncorrected), eV/atom: -0.775